# LaPdBr6 PBE-GGA relaxed
data_LaPdBr6
_chemical_formula_sum 'La1 Pd1 Br6'
_space_group_name_H-M_alt 'P -1'
_space_group_IT_number 2
_cell_length_a 6.750
_cell_length_b 6.758
_cell_length_c 7.345
_cell_angle_alpha 62.77
_cell_angle_beta 66.23
_cell_angle_gamma 63.66
loop_
_space_group_symop_operation_xyz
'x,y,z'
'-x,-y,-z'
loop_
_atom_site_label
_atom_site_fract_x
_atom_site_fract_y
_atom_site_fract_z
La1 0.000 0.000 0.000
Pd1 0.500 0.500 0.500
Br1 0.103 0.728 0.742
Br2 0.280 0.550 0.266
Br3 0.440 0.108 0.732
# N(E_F) = 1.93 states/eV/f.u.
# ΔE_f (raw) = -0.986 eV per atom
# DFT total energy = -28.05 eV per cell